The following is a PBE-GGA calculation of a geometry-optimized PmSm2YS4 structure, from Alexandria.

Cell and atoms, written as extended XYZ:
```
8
Lattice="-0.781 -1.497 3.580 3.728 -5.652 -1.550 4.159 4.732 2.886" Properties=species:S:1:pos:R:3 pbc="T T T"
S 3.847 -3.090 -0.452
Sm 1.689 1.617 3.233
Pm 1.473 -3.575 1.015
Sm 3.944 -0.460 0.668
S 1.533 -0.965 2.119
S 4.040 2.169 1.789
S 5.573 -1.452 2.797
Y 0.000 0.000 0.000
```

Calculated values
Uncorrected formation energy: -2.02 eV/atom
D(E_F): 5.0 states/eV/cell
VASP energy: -53.29 eV/f.u.